one:
VASP calculation (SCAN) on BeNiSn3 at its PBEsol-relaxed geometry.

a = 4.7436 Å, b = 4.7436 Å, c = 4.7436 Å
α = 90.00°, β = 90.00°, γ = 90.00°
Last column: nearest neighbours and their distance in Å.
Atoms (fractional coordinates):
Be 0.0000 0.0000 0.0000  6 Sn 2.37
Ni 0.5000 0.5000 0.5000  12 Sn 3.35
Sn 0.0000 0.0000 0.5000  2 Be 2.37
Sn 0.0000 0.5000 0.0000  2 Be 2.37
Sn 0.5000 0.0000 0.0000  2 Be 2.37

Results
The calculation puts the total magnetization at 0.001 μB per cell. As for the space-group type: No. 221.


two:
VASP calculation (SCAN) on BeNiSn3 at its PBEsol-relaxed geometry.

a = 4.8694 Å, b = 4.8694 Å, c = 4.8694 Å
α = 90.00°, β = 90.00°, γ = 90.00°
Last column: nearest neighbours and their distance in Å.
Atoms (fractional coordinates):
Be 0.0000 0.0000 0.0000  12 Sn 3.44
Ni 0.5000 0.5000 0.5000  6 Sn 2.43
Sn 0.0000 0.5000 0.5000  2 Ni 2.43
Sn 0.5000 0.0000 0.5000  2 Ni 2.43
Sn 0.5000 0.5000 0.0000  2 Ni 2.43

Results
The calculation puts the total magnetization at 0.000 μB per cell. As for the space-group type: No. 221.


Quick one: least stable of them? one


one:
VASP calculation (SCAN) on SrBe2Ni at its PBEsol-relaxed geometry.

a = 4.6139 Å, b = 4.6139 Å, c = 4.6139 Å
α = 126.39°, β = 126.39°, γ = 79.24°
Last column: nearest neighbours and their distance in Å.
Atoms (fractional coordinates):
Sr 0.0000 0.0000 0.0000  8 Be 2.74, 4 Ni 2.94
Be 0.2500 0.7500 0.5000  4 Ni 2.74, 4 Sr 2.74, 4 Be 2.94
Be 0.7500 0.2500 0.5000  4 Ni 2.74, 4 Sr 2.74, 4 Be 2.94
Ni 0.5000 0.5000 0.0000  8 Be 2.74, 4 Sr 2.94

Results
The calculation puts the total magnetization at 0.000 μB per cell. As for the space-group type: No. 139.


two:
VASP calculation (SCAN) on SrBe2Ni at its PBEsol-relaxed geometry.

a = 5.6788 Å, b = 5.6788 Å, c = 5.6788 Å
α = 39.45°, β = 39.45°, γ = 39.45°
Last column: nearest neighbours and their distance in Å.
Atoms (fractional coordinates):
Sr 0.0000 0.0000 0.0000  1 Be 2.80, 1 Ni 2.87
Be 0.1783 0.1783 0.1783  3 Be 2.23, 3 Ni 2.26
Be 0.4955 0.4955 0.4955  3 Ni 2.22, 3 Be 2.23
Ni 0.8173 0.8173 0.8173  6 Be 2.22-2.26

Results
The calculation puts the total magnetization at 0.000 μB per cell. As for the space-group type: No. 160.


Quick one: least stable of them? one


one:
VASP calculation (SCAN) on TaBe2Ni at its PBEsol-relaxed geometry.

a = 2.7214 Å, b = 2.7214 Å, c = 5.8801 Å
α = 90.00°, β = 90.00°, γ = 90.00°
Last column: nearest neighbours and their distance in Å.
Atoms (fractional coordinates):
Ta 0.0000 0.0000 0.0000  8 Be 2.62, 4 Ta 2.72
Be 0.5000 0.5000 0.3015  4 Ni 2.25, 1 Be 2.33
Be 0.5000 0.5000 0.6985  4 Ni 2.25, 1 Be 2.33
Ni 0.0000 0.0000 0.5000  8 Be 2.25

Results
The calculation puts the total magnetization at 0.000 μB per cell. As for the space-group type: No. 123.


two:
VASP calculation (SCAN) on TaBe2Ni at its PBEsol-relaxed geometry.

a = 4.8769 Å, b = 4.8769 Å, c = 4.8769 Å
α = 149.34°, β = 126.39°, γ = 63.03°
Last column: nearest neighbours and their distance in Å.
Atoms (fractional coordinates):
Ta 0.0000 0.0000 0.0000  4 Ni 2.55, 2 Ta 2.58, 4 Be 2.64
Be 0.2766 0.7766 0.5000  2 Ni 2.26
Be 0.7234 0.2234 0.5000  2 Ni 2.26
Ni 0.5000 0.5000 0.0000  4 Be 2.26

Results
The calculation puts the total magnetization at 0.000 μB per cell. As for the space-group type: No. 71.


Quick one: least stable of them? two


one:
VASP calculation (SCAN) on Rb2Be2O3 at its PBEsol-relaxed geometry.

a = 10.5946 Å, b = 5.3545 Å, c = 7.6762 Å
α = 90.00°, β = 90.00°, γ = 90.00°
Last column: nearest neighbours and their distance in Å.
Atoms (fractional coordinates):
Rb 0.0864 0.2500 0.1277  5 O 2.81-3.15, 2 Be 2.96-3.12
Rb 0.1124 0.7500 0.4888  7 O 2.78-3.11
Rb 0.3876 0.2500 0.9888  7 O 2.78-3.11
Rb 0.4136 0.7500 0.6277  5 O 2.81-3.15, 2 Be 2.96-3.12
Rb 0.5864 0.2500 0.3723  5 O 2.81-3.15, 2 Be 2.96-3.12
Rb 0.6125 0.7500 0.0112  7 O 2.78-3.11
Rb 0.8876 0.2500 0.5112  7 O 2.78-3.11
Rb 0.9136 0.7500 0.8723  5 O 2.81-3.15, 2 Be 2.96-3.12
Be 0.1632 0.2500 0.7192  3 O 1.55-1.56
Be 0.2082 0.7500 0.8898  3 O 1.55
Be 0.2918 0.2500 0.3898  3 O 1.55
Be 0.3368 0.7500 0.2192  3 O 1.55-1.56
Be 0.6632 0.2500 0.7808  3 O 1.55-1.56
Be 0.7081 0.7500 0.6102  3 O 1.55
Be 0.7919 0.2500 0.1102  3 O 1.55
Be 0.8368 0.7500 0.2808  3 O 1.55-1.56
O 0.1532 0.5010 0.8194  2 Be 1.55
O 0.1532 0.9990 0.8194  2 Be 1.55
O 0.1786 0.2500 0.5176  2 Be 1.55-1.56
O 0.3214 0.7500 0.0176  2 Be 1.55-1.56
O 0.3468 0.0010 0.3194  2 Be 1.55
O 0.3468 0.4990 0.3194  2 Be 1.55
O 0.6532 0.5010 0.6806  2 Be 1.55
O 0.6532 0.9990 0.6806  2 Be 1.55
O 0.6786 0.2500 0.9824  2 Be 1.55-1.56
O 0.8214 0.7500 0.4824  2 Be 1.55-1.56
O 0.8468 0.0010 0.1806  2 Be 1.55
O 0.8468 0.4990 0.1806  2 Be 1.55

Results
The calculation puts the total magnetization at 0.000 μB per cell. As for the space-group type: No. 62.


two:
VASP calculation (SCAN) on Rb2Be2O3 at its PBEsol-relaxed geometry.

a = 7.3771 Å, b = 7.3771 Å, c = 7.3892 Å
α = 90.00°, β = 90.00°, γ = 90.00°
Last column: nearest neighbours and their distance in Å.
Atoms (fractional coordinates):
Rb 0.0013 0.2478 0.3780  1 Be 2.88, 7 O 2.90-3.21, 4 Rb 3.14-3.22
Rb 0.2478 0.0013 0.6220  1 Be 2.88, 7 O 2.90-3.21, 4 Rb 3.14-3.22
Rb 0.2522 0.5013 0.1280  1 Be 2.88, 7 O 2.90-3.21, 4 Rb 3.14-3.22
Rb 0.4987 0.7478 0.3720  1 Be 2.88, 7 O 2.90-3.21, 4 Rb 3.14-3.22
Rb 0.5013 0.2522 0.8720  1 Be 2.88, 7 O 2.90-3.21, 4 Rb 3.14-3.22
Rb 0.7478 0.4987 0.6280  1 Be 2.88, 7 O 2.90-3.21, 4 Rb 3.14-3.22
Rb 0.7522 0.9987 0.1220  1 Be 2.88, 7 O 2.90-3.21, 4 Rb 3.14-3.22
Rb 0.9987 0.7522 0.8780  1 Be 2.88, 7 O 2.90-3.21, 4 Rb 3.14-3.22
Be 0.0272 0.2773 0.9015  3 O 1.56
Be 0.2227 0.5272 0.6515  3 O 1.56
Be 0.2773 0.0272 0.0985  3 O 1.56
Be 0.4728 0.7773 0.8485  3 O 1.56
Be 0.5272 0.2227 0.3485  3 O 1.56
Be 0.7227 0.9728 0.5985  3 O 1.56
Be 0.7773 0.4728 0.1515  3 O 1.56
Be 0.9728 0.7227 0.4015  3 O 1.56
O 0.1100 0.1100 0.0000  2 Be 1.56
O 0.1248 0.3592 0.7335  2 Be 1.56
O 0.1408 0.6248 0.4835  2 Be 1.56
O 0.3592 0.1248 0.2665  2 Be 1.56
O 0.3752 0.8592 0.0165  2 Be 1.56
O 0.3900 0.6100 0.7500  2 Be 1.56
O 0.6100 0.3900 0.2500  2 Be 1.56
O 0.6248 0.1408 0.5165  2 Be 1.56
O 0.6408 0.8752 0.7665  2 Be 1.56
O 0.8592 0.3752 0.9835  2 Be 1.56
O 0.8752 0.6408 0.2335  2 Be 1.56
O 0.8900 0.8900 0.5000  2 Be 1.56

Results
The calculation puts the total magnetization at 0.001 μB per cell. As for the space-group type: No. 96.


Quick one: least stable of them? two


one:
VASP calculation (SCAN) on BeSO2 at its PBEsol-relaxed geometry.

a = 4.9161 Å, b = 4.9161 Å, c = 4.9161 Å
α = 124.75°, β = 124.75°, γ = 81.96°
Last column: nearest neighbours and their distance in Å.
Atoms (fractional coordinates):
Be 0.0000 0.0000 0.0000  4 O 1.62
Be 0.7500 0.2500 0.5000  4 O 1.62
S 0.2500 0.7500 0.5000  4 O 2.17
S 0.5000 0.5000 0.0000  4 O 2.17
O 0.0235 0.1250 0.3985  2 Be 1.62
O 0.3750 0.9765 0.1015  2 Be 1.62
O 0.7265 0.6250 0.6015  2 Be 1.62
O 0.8750 0.2735 0.8985  2 Be 1.62

Results
The calculation puts the total magnetization at 0.000 μB per cell. As for the space-group type: No. 122.


two:
VASP calculation (SCAN) on BeSO2 at its PBEsol-relaxed geometry.

a = 3.6943 Å, b = 3.6943 Å, c = 3.6943 Å
α = 60.00°, β = 60.00°, γ = 60.00°
Last column: nearest neighbours and their distance in Å.
Atoms (fractional coordinates):
Be 0.0000 0.0000 0.0000  8 O 2.26
S 0.5000 0.5000 0.5000  8 O 2.26
O 0.2500 0.2500 0.2500  4 S 2.26, 4 Be 2.26
O 0.7500 0.7500 0.7500  4 S 2.26, 4 Be 2.26

Results
The calculation puts the total magnetization at 0.001 μB per cell. As for the space-group type: No. 225.


Quick one: least stable of them? two


one:
VASP calculation (SCAN) on Sc2BeO at its PBEsol-relaxed geometry.

a = 7.3470 Å, b = 7.3470 Å, c = 7.3470 Å
α = 28.01°, β = 28.01°, γ = 28.01°
Last column: nearest neighbours and their distance in Å.
Atoms (fractional coordinates):
Sc 0.0882 0.0882 0.0882  1 O 1.87
Sc 0.9118 0.9118 0.9118  1 O 1.87
Be 0.5000 0.5000 0.5000  6 Sc 2.64
O 0.0000 0.0000 0.0000  2 Sc 1.87

Results
The calculation puts the total magnetization at 0.000 μB per cell. As for the space-group type: No. 166.


two:
VASP calculation (SCAN) on Sc2BeO at its PBEsol-relaxed geometry.

a = 4.2758 Å, b = 4.2758 Å, c = 4.2758 Å
α = 60.00°, β = 60.00°, γ = 60.00°
Last column: nearest neighbours and their distance in Å.
Atoms (fractional coordinates):
Sc 0.2500 0.2500 0.2500  4 O 2.62, 4 Be 2.62
Sc 0.7500 0.7500 0.7500  4 O 2.62, 4 Be 2.62
Be 0.0000 0.0000 0.0000  8 Sc 2.62
O 0.5000 0.5000 0.5000  8 Sc 2.62

Results
The calculation puts the total magnetization at 0.000 μB per cell. As for the space-group type: No. 225.


Quick one: least stable of them? two